Entry 1:
A plane-wave DFT calculation with PBE was carried out for crystalline SiP2S4 at its relaxed geometry.

CIF file:
```
data_SiP2S4
_chemical_formula_sum 'Si2 P4 S8'
_symmetry_space_group_name_H-M 'I -4 2 m'
_symmetry_Int_Tables_number 121
_symmetry_space_group_name_Hall 'I -4 2'
_cell_length_a 6.263
_cell_length_b 6.263
_cell_length_c 7.673
_cell_angle_alpha 90.00
_cell_angle_beta 90.00
_cell_angle_gamma 90.00
loop_
_atom_site_label
_atom_site_fract_x
_atom_site_fract_y
_atom_site_fract_z
Si1 0.000 0.000 0.000
P1 0.000 0.500 0.250
S1 0.212 0.212 0.144
```

Summary:
Calculated density = 2.409 g/cm3
Formation energy (no corrections) = 0.0730 eV/atom

Entry 2:
A plane-wave DFT calculation with PBE was carried out for crystalline NdDy6Al at its relaxed geometry.

CIF file:
```
data_NdDy6Al
_chemical_formula_sum 'Nd2 Dy12 Al2'
_symmetry_space_group_name_H-M 'C 1 2/m 1'
_symmetry_Int_Tables_number 12
_cell_length_a 6.884
_cell_length_b 12.089
_cell_length_c 6.849
_cell_angle_alpha 90.00
_cell_angle_beta 119.30
_cell_angle_gamma 90.00
loop_
_symmetry_equiv_pos_as_xyz
'x,y,z'
'-x,-y,-z'
'-x,y,-z'
'x,-y,z'
'x+1/2,y+1/2,z'
'-x+1/2,-y+1/2,-z'
'-x+1/2,y+1/2,-z'
'x+1/2,-y+1/2,z'
loop_
_atom_site_label
_atom_site_fract_x
_atom_site_fract_y
_atom_site_fract_z
Nd1 0.000 0.000 0.000
Dy1 0.024 0.219 0.744
Dy2 0.029 0.500 0.263
Al1 0.000 0.000 0.500
```

Summary:
Energy of formation from the pure elements = 0.2441 eV per atom
Calculated density = 7.659 g/cm3

Entry 3:
A plane-wave DFT calculation with PBE was carried out for crystalline LaHgW2 at its relaxed geometry.

CIF file:
```
data_LaHgW2
_chemical_formula_sum 'La1 Hg1 W2'
_symmetry_space_group_name_H-M 'P 4/m m m'
_symmetry_Int_Tables_number 123
_symmetry_space_group_name_Hall '-P 4 2'
_cell_length_a 2.844
_cell_length_b 2.844
_cell_length_c 10.039
_cell_angle_alpha 90.00
_cell_angle_beta 90.00
_cell_angle_gamma 90.00
loop_
_atom_site_label
_atom_site_fract_x
_atom_site_fract_y
_atom_site_fract_z
La1 0.000 0.000 0.000
Hg1 0.000 0.000 0.500
W1 0.500 0.500 0.273
```

Summary:
Energy of formation from the pure elements = 0.8836 eV per atom
Calculated density = 14.465 g/cm3

Entry 4:
A plane-wave DFT calculation with PBE was carried out for crystalline Y2CuP at its relaxed geometry.

CIF file:
```
data_Y2CuP
_chemical_formula_sum 'Y2 Cu1 P1'
_symmetry_space_group_name_H-M 'P 1 2/m 1'
_symmetry_Int_Tables_number 10
_cell_length_a 3.544
_cell_length_b 3.554
_cell_length_c 6.650
_cell_angle_alpha 90.00
_cell_angle_beta 90.67
_cell_angle_gamma 90.00
loop_
_symmetry_equiv_pos_as_xyz
'x,y,z'
'-x,-y,-z'
'-x,y,-z'
'x,-y,z'
loop_
_atom_site_label
_atom_site_fract_x
_atom_site_fract_y
_atom_site_fract_z
Y1 0.007 0.000 0.259
Cu1 0.500 0.500 0.000
P1 0.500 0.500 0.500
```

Summary:
Energy of formation from the pure elements = -0.6926 eV per atom
Calculated density = 5.399 g/cm3

Entry 5:
A plane-wave DFT calculation with PBE was carried out for crystalline CdOs4Rh at its relaxed geometry.

CIF file:
```
data_CdOs4Rh
_chemical_formula_sum 'Cd4 Os16 Rh4'
_symmetry_space_group_name_H-M 'F -4 3 m'
_symmetry_Int_Tables_number 216
_symmetry_space_group_name_Hall 'F -4 2 3'
_cell_length_a 7.323
_cell_length_b 7.323
_cell_length_c 7.323
_cell_angle_alpha 90.00
_cell_angle_beta 90.00
_cell_angle_gamma 90.00
loop_
_atom_site_label
_atom_site_fract_x
_atom_site_fract_y
_atom_site_fract_z
Cd1 0.000 0.000 0.000
Os1 0.124 0.124 0.624
Rh1 0.250 0.250 0.250
```

Summary:
Energy of formation from the pure elements = 0.7769 eV per atom
Calculated density = 16.513 g/cm3

Entry 6:
A plane-wave DFT calculation with PBE was carried out for crystalline Be2CuAu at its relaxed geometry.

CIF file:
```
data_Be2CuAu
_chemical_formula_sum 'Be4 Cu2 Au2'
_symmetry_space_group_name_H-M 'I m m 2'
_symmetry_Int_Tables_number 44
_cell_length_a 3.335
_cell_length_b 3.576
_cell_length_c 7.819
_cell_angle_alpha 90.00
_cell_angle_beta 90.00
_cell_angle_gamma 90.00
loop_
_symmetry_equiv_pos_as_xyz
'x,y,z'
'-x,-y,z'
'-x,y,z'
'x,-y,z'
'x+1/2,y+1/2,z+1/2'
'-x+1/2,-y+1/2,z+1/2'
'-x+1/2,y+1/2,z+1/2'
'x+1/2,-y+1/2,z+1/2'
loop_
_atom_site_label
_atom_site_fract_x
_atom_site_fract_y
_atom_site_fract_z
Be1 0.000 0.000 0.000
Be2 0.000 0.500 0.247
Cu1 0.000 0.500 0.739
Au1 0.000 0.000 0.495
```

Summary:
Energy of formation from the pure elements = -0.0670 eV per atom
Calculated density = 9.920 g/cm3

Entry 7:
A plane-wave DFT calculation with PBE was carried out for crystalline DyGa4Co2Ru at its relaxed geometry.

CIF file:
```
data_DyGa4Co2Ru
_chemical_formula_sum 'Dy3 Ga12 Co6 Ru3'
_symmetry_space_group_name_H-M 'R -3 m'
_symmetry_Int_Tables_number 166
_symmetry_space_group_name_Hall '-R 3 2"'
_cell_length_a 4.0965
_cell_length_b 4.0965
_cell_length_c 25.8555
_cell_angle_alpha 90.00
_cell_angle_beta 90.00
_cell_angle_gamma 120.00
loop_
_atom_site_label
_atom_site_fract_x
_atom_site_fract_y
_atom_site_fract_z
Dy1 0.0000 0.0000 0.0000
Ga1 0.0000 0.0000 0.1294
Ga2 0.0000 0.0000 0.4018
Co1 0.0000 0.0000 0.2369
Ru1 0.0000 0.0000 0.5000
```

Summary:
Energy of formation from the pure elements = -0.3744 eV per atom
Calculated density = 8.754 g/cm3

Entry 8:
A plane-wave DFT calculation with PBE was carried out for crystalline SrPuCuSe3 at its relaxed geometry.

CIF file:
```
data_SrPuCuSe3
_chemical_formula_sum 'Sr2 Pu2 Cu2 Se6'
_symmetry_space_group_name_H-M 'P 1 21/m 1'
_symmetry_Int_Tables_number 11
_cell_length_a 8.653
_cell_length_b 4.126
_cell_length_c 9.064
_cell_angle_alpha 90.00
_cell_angle_beta 103.39
_cell_angle_gamma 90.00
loop_
_symmetry_equiv_pos_as_xyz
'x,y,z'
'-x,-y,-z'
'-x,y+1/2,-z'
'x,-y+1/2,z'
loop_
_atom_site_label
_atom_site_fract_x
_atom_site_fract_y
_atom_site_fract_z
Sr1 0.185 0.250 0.237
Pu1 0.328 0.750 0.836
Cu1 0.079 0.250 0.583
Se1 0.100 0.250 0.861
Se2 0.218 0.750 0.511
Se3 0.436 0.750 0.166
```

Summary:
Calculated density = 6.667 g/cm3
Formation energy (no corrections) = -1.3491 eV/atom

Entry 9:
A plane-wave DFT calculation with PBE was carried out for crystalline Ac2LaY4 at its relaxed geometry.

CIF file:
```
data_Ac2LaY4
_chemical_formula_sum 'Ac8 La4 Y16'
_symmetry_space_group_name_H-M 'I -4 2 d'
_symmetry_Int_Tables_number 122
_symmetry_space_group_name_Hall 'I -4 2bw'
_cell_length_a 10.180
_cell_length_b 10.180
_cell_length_c 10.206
_cell_angle_alpha 90.00
_cell_angle_beta 90.00
_cell_angle_gamma 90.00
loop_
_atom_site_label
_atom_site_fract_x
_atom_site_fract_y
_atom_site_fract_z
Ac1 0.120 0.750 0.125
La1 0.000 0.000 0.500
Y1 0.082 0.670 0.465
```

Summary:
Energy of formation from the pure elements = 0.2941 eV per atom
Calculated density = 5.957 g/cm3

Entry 10:
A plane-wave DFT calculation with PBE was carried out for crystalline Be2SbAs at its relaxed geometry.

CIF file:
```
data_Be2SbAs
_chemical_formula_sum 'Be4 Sb2 As2'
_symmetry_space_group_name_H-M 'C 1 2/m 1'
_symmetry_Int_Tables_number 12
_cell_length_a 5.734
_cell_length_b 6.830
_cell_length_c 3.988
_cell_angle_alpha 90.00
_cell_angle_beta 117.47
_cell_angle_gamma 90.00
loop_
_symmetry_equiv_pos_as_xyz
'x,y,z'
'-x,-y,-z'
'-x,y,-z'
'x,-y,z'
'x+1/2,y+1/2,z'
'-x+1/2,-y+1/2,-z'
'-x+1/2,y+1/2,-z'
'x+1/2,-y+1/2,z'
loop_
_atom_site_label
_atom_site_fract_x
_atom_site_fract_y
_atom_site_fract_z
Be1 0.250 0.250 0.000
Sb1 0.000 0.000 0.500
As1 0.000 0.500 0.500
```

Summary:
Calculated density = 5.147 g/cm3
Formation energy (no corrections) = 0.5114 eV/atom
Energy relative to the lowest polymorph listed for this composition = 372 meV/atom

Entry 11:
A plane-wave DFT calculation with PBE was carried out for crystalline UPaPb at its relaxed geometry.

CIF file:
```
data_UPaPb
_chemical_formula_sum 'U4 Pa4 Pb4'
_symmetry_space_group_name_H-M 'I m m m'
_symmetry_Int_Tables_number 71
_symmetry_space_group_name_Hall '-I 2 2'
_cell_length_a 5.385
_cell_length_b 6.304
_cell_length_c 8.657
_cell_angle_alpha 90.00
_cell_angle_beta 90.00
_cell_angle_gamma 90.00
loop_
_atom_site_label
_atom_site_fract_x
_atom_site_fract_y
_atom_site_fract_z
U1 0.000 0.000 0.144
Pa1 0.000 0.500 0.161
Pb1 0.000 0.247 0.500
```

Summary:
Energy of formation from the pure elements = 0.3299 eV per atom
Calculated density = 15.287 g/cm3
Energy relative to the lowest polymorph listed for this composition = 117 meV/atom

Question: Number 1 is which compound?
Answer: SiP2S4

Question: What is the calculated density in the eleventh record?
Answer: 15.287 g/cm3